# Sc3AgN

A relaxed Sc3AgN crystal (GGA-PBE, Alexandria via LeMat-Bulk).

```
Sc3AgN
1.0
4.8487 0.0000 0.0000
0.0000 12.6478 0.0000
0.0000 0.0000 6.4868
Ag Sc N
4 12 4
Direct
0.0000 0.0000 0.5000
0.5000 0.0000 0.0000
0.0000 0.5000 0.5000
0.5000 0.5000 0.0000
0.4998 0.7500 0.0914
0.9998 0.6213 0.9048
0.0002 0.1213 0.0952
0.5002 0.3787 0.4048
0.4998 0.6213 0.5952
0.5002 0.2500 0.9086
0.0002 0.2500 0.5914
0.0002 0.3787 0.0952
0.9998 0.7500 0.4086
0.5002 0.1213 0.4048
0.9998 0.8787 0.9048
0.4998 0.8787 0.5952
0.4999 0.7500 0.4066
0.5001 0.2500 0.5934
0.0001 0.2500 0.9066
0.9999 0.7500 0.0934
```

Results
The space-group type is Imma. The calculation puts the calculated density at 4.287 Mg/m³. The uncorrected formation energy comes out at -65.9 kJ/mol of atoms.

---

# CaCe2Ru2

A relaxed CaCe2Ru2 crystal (GGA-PBE, Alexandria via LeMat-Bulk).

```
CaCe2Ru2
1.0
5.2272 0.0020 0.0037
2.6123 6.9100 0.5579
2.6059 0.4555 6.9161
Ce Ru Ca
4 4 2
Direct
0.0781 0.0935 0.2603
0.5685 0.5935 0.7603
0.4315 0.4065 0.2397
0.9219 0.9065 0.7397
0.6514 0.1850 0.0185
0.8543 0.3150 0.4815
0.3486 0.8150 0.9815
0.1457 0.6850 0.5185
0.7517 0.7500 0.2500
0.2483 0.2500 0.7500
```

Results
The space-group type is C2/c. The calculation puts the calculated density at 6.985 Mg/m³. For the formation energy, the calculation gives -24 kJ/mol of atoms.

---

# TaBe2Fe

A relaxed TaBe2Fe crystal (GGA-PBE, Alexandria via LeMat-Bulk).

```
TaBe2Fe
1.0
8.2350 0.0403 0.0237
7.7914 2.6667 0.0237
7.7914 1.3160 2.3195
Be Fe Ta
2 1 1
Direct
0.9903 0.9903 0.9903
0.5097 0.5097 0.5097
0.2500 0.2500 0.2500
0.7500 0.7500 0.7500
```

Results
The space-group type is R-3m. The calculation puts the calculated density at 8.512 Mg/m³. For the formation energy, the calculation gives 31 kJ/mol of atoms.

---

# AlTc2BiH

A relaxed AlTc2BiH crystal (GGA-PBE, Alexandria via LeMat-Bulk).

```
AlTc2BiH
1.0
4.6620 0.0000 0.0000
0.0000 5.2700 0.0000
0.0000 0.0000 4.6620
H Tc Al Bi
1 2 1 1
Direct
0.5000 0.5000 0.5000
0.5000 0.0000 0.0000
0.0000 0.0000 0.5000
0.0000 0.0000 0.0000
0.0000 0.5000 0.0000
```

Results
The space-group type is P4/mmm. The calculation puts the calculated density at 6.277 Mg/m³. The total energy is -4.48 eV per atom.

---

# Cs4Pr3YS8

A relaxed Cs4Pr3YS8 crystal (GGA-PBE, Alexandria via LeMat-Bulk).

```
Cs4Pr3YS8
1.0
8.4850 0.0000 0.0000
0.0000 9.4441 0.6670
-4.2425 -4.2353 6.0039
Y Cs S Pr
1 4 8 3
Direct
0.0000 0.5000 0.0000
0.0000 0.0000 0.0000
0.5000 0.0000 0.0000
0.0000 0.0000 0.5000
0.5000 0.0000 0.5000
0.2704 0.3112 0.5408
0.7758 0.3147 0.5517
0.7296 0.6888 0.4592
0.2629 0.3147 0.0388
0.2242 0.6853 0.9612
0.7758 0.3147 0.0388
0.2242 0.6853 0.4483
0.7371 0.6853 0.9612
0.0000 0.5000 0.5000
0.5000 0.5000 0.5000
0.5000 0.5000 0.0000
```

Results
The space-group type is R-3m. The calculation puts the calculated density at 4.273 Mg/m³. The uncorrected formation energy comes out at -174.4 kJ/mol of atoms.

---

# Nd3YRh

A relaxed Nd3YRh crystal (GGA-PBE, Alexandria via LeMat-Bulk).

```
Nd3YRh
1.0
-4.4149 -3.2986 -0.8303
1.7883 -1.0937 -5.1641
2.8935 -4.3572 1.9248
Nd Y Rh
3 1 1
Direct
0.0000 0.0000 0.5000
0.0000 0.5000 0.0000
0.5000 0.0000 0.0000
0.5000 0.5000 0.5000
0.0000 0.0000 0.0000
```

Results
The space-group type is Pm-3m. The calculation puts the calculated density at 5.991 Mg/m³. For the formation energy, the calculation gives -11 kJ/mol of atoms.

---

# Tl2TcBr

A relaxed Tl2TcBr crystal (GGA-PBE, Alexandria via LeMat-Bulk).

```
Tl2TcBr
1.0
3.2886 0.0000 0.0000
0.0000 5.4591 0.0000
0.0000 0.0000 5.4591
Tc Br Tl
1 1 2
Direct
0.5000 0.0000 0.5000
0.5000 0.5000 0.0000
0.0000 0.0000 0.0000
0.0000 0.5000 0.5000
```

Results
The space-group type is P4/mmm. The calculation puts the calculated density at 9.940 Mg/m³. The uncorrected formation energy comes out at 47.9 kJ/mol of atoms.

---

# CdGa2I8

A relaxed CdGa2I8 crystal (GGA-PBE, Alexandria via LeMat-Bulk).

```
CdGa2I8
1.0
7.0515 0.2784 0.2113
0.4284 8.7403 -0.4102
0.4284 1.9584 8.5279
I Ga Cd
8 2 1
Direct
0.2867 0.8029 0.8029
0.7760 0.7167 0.0803
0.7924 0.6167 0.6167
0.2240 0.9197 0.2833
0.2076 0.3833 0.3833
0.7760 0.0803 0.7167
0.7133 0.1971 0.1971
0.2240 0.2833 0.9197
0.3446 0.2005 0.2005
0.6554 0.7995 0.7995
0.0000 0.0000 0.0000
```

Results
The space-group type is C2/m. The calculation puts the calculated density at 3.973 Mg/m³. The uncorrected formation energy comes out at -48.8 kJ/mol of atoms.

---

# LaCeCd

A relaxed LaCeCd crystal (GGA-PBE, Alexandria via LeMat-Bulk).

```
LaCeCd
1.0
3.1221 0.0000 0.0000
0.0000 5.4396 0.0000
0.0000 -2.7198 4.7108
Cd La Ce
1 1 1
Direct
0.6670 0.6667 0.3333
0.1663 0.3333 0.6667
0.1667 0.0000 0.0000
```

Results
The space-group type is P-6m2. The calculation puts the calculated density at 8.125 Mg/m³. For the formation energy, the calculation gives -5 kJ/mol of atoms.

---

# Li2CaRh

A relaxed Li2CaRh crystal (GGA-PBE, Alexandria via LeMat-Bulk).

```
Li2CaRh
1.0
4.7424 -0.0741 -0.0475
0.1875 4.7392 0.0475
-2.4220 -2.3779 3.3132
Ca Rh Li
1 1 2
Direct
0.2502 0.7502 0.5000
0.5014 0.5014 0.0000
0.7497 0.2497 0.5000
0.9987 0.9987 0.0000
```

Results
The space-group type is Imm2. The calculation puts the calculated density at 3.495 Mg/m³. For the formation energy, the calculation gives -11 kJ/mol of atoms.

---

# Al2SbBr

A relaxed Al2SbBr crystal (GGA-PBE, Alexandria via LeMat-Bulk).

```
Al2SbBr
1.0
3.2803 0.0656 0.0000
-0.9152 3.1508 0.0000
0.0000 0.0000 9.5806
Sb Al Br
1 2 1
Direct
0.5000 0.5000 0.8176
0.5000 0.5000 0.2324
0.0000 0.0000 0.0320
0.0000 0.0000 0.4179
```

Results
The space-group type is Cmm2. The calculation puts the calculated density at 4.262 Mg/m³. The uncorrected formation energy comes out at -3.4 kJ/mol of atoms.

---

# Mg2AlAu2

A relaxed Mg2AlAu2 crystal (GGA-PBE, Alexandria via LeMat-Bulk).

```
Mg2AlAu2
1.0
6.4487 0.0000 0.0000
0.0000 6.3673 -0.0017
0.0000 -0.0002 9.5937
Al Mg Au
4 8 8
Direct
0.2500 0.5000 0.3264
0.7500 0.0000 0.6736
0.2500 0.0000 0.3264
0.7500 0.5000 0.6736
0.2499 0.5001 0.6756
0.7500 0.0000 0.0015
0.7501 0.4999 0.3244
0.2501 0.0001 0.6756
0.7500 0.5000 0.0015
0.2500 0.0000 0.9985
0.2500 0.5000 0.9985
0.7499 0.9999 0.3244
0.5218 0.2501 0.5186
0.9857 0.2500 0.8281
0.9782 0.7501 0.5186
0.4857 0.2500 0.1719
0.0143 0.7500 0.1719
0.0218 0.2499 0.4814
0.5143 0.7500 0.8281
0.4782 0.7499 0.4814
```

Results
The space-group type is Pbcm. The calculation puts the calculated density at 7.917 Mg/m³. For the formation energy, the calculation gives -45 kJ/mol of atoms.

---

# Tl2Hg3Te4

A relaxed Tl2Hg3Te4 crystal (GGA-PBE, Alexandria via LeMat-Bulk).

```
Tl2Hg3Te4
1.0
9.1974 -0.7512 0.0927
0.3923 8.5532 2.5641
-0.5792 1.1509 8.8845
Hg Te Tl
6 8 4
Direct
0.6143 0.1852 0.9496
0.3024 0.5838 0.4875
0.0316 0.8836 0.2267
0.6976 0.4162 0.5125
0.3857 0.8148 0.0504
0.9684 0.1164 0.7733
0.0759 0.7897 0.9641
0.9241 0.2103 0.0359
0.5697 0.5272 0.7196
0.9184 0.2675 0.4383
0.0816 0.7325 0.5617
0.4146 0.0494 0.2022
0.4303 0.4728 0.2804
0.5854 0.9506 0.7978
0.2873 0.0726 0.5380
0.7127 0.9274 0.4620
0.2482 0.4121 0.9693
0.7518 0.5879 0.0307
```

Results
The space-group type is P-1. The calculation puts the calculated density at 7.472 Mg/m³. The uncorrected formation energy comes out at -15.3 kJ/mol of atoms.

---

# AcGa4IrPt2

A relaxed AcGa4IrPt2 crystal (GGA-PBE, Alexandria via LeMat-Bulk).

```
AcGa4IrPt2
1.0
4.3262 0.0000 0.0000
2.1631 3.7466 0.0000
2.1631 1.2489 9.3227
Pt Ga Ac Ir
2 4 1 1
Direct
0.2326 0.2326 0.3022
0.7674 0.7674 0.6978
0.1344 0.1344 0.5967
0.4051 0.4051 0.7848
0.5949 0.5949 0.2152
0.8656 0.8656 0.4033
0.0000 0.0000 0.0000
0.5000 0.5000 0.5000
```

Results
The space-group type is R-3m. The calculation puts the calculated density at 11.959 Mg/m³. For the formation energy, the calculation gives -62 kJ/mol of atoms.

---

# LiScMn2

A relaxed LiScMn2 crystal (GGA-PBE, Alexandria via LeMat-Bulk).

```
LiScMn2
1.0
-4.1623 -2.3914 -0.9415
1.0274 -4.5495 -1.4753
1.4729 2.5809 3.8858
Sc Li Mn
1 1 2
Direct
0.2500 0.7500 0.5000
0.7500 0.2500 0.5000
0.0000 0.0000 0.0000
0.5000 0.5000 0.0000
```

Results
The space-group type is I4/mmm. The calculation puts the calculated density at 4.219 Mg/m³. For the formation energy, the calculation gives 31 kJ/mol of atoms.

---

# ZrWCl2

A relaxed ZrWCl2 crystal (GGA-PBE, Alexandria via LeMat-Bulk).

```
ZrWCl2
1.0
0.2565 5.2982 7.1790
-0.9144 2.7565 8.4405
2.1239 3.0493 8.1158
Cl W Zr
2 1 1
Direct
0.9076 0.9076 0.9076
0.0924 0.0924 0.0924
0.0000 0.0000 0.0000
0.5000 0.5000 0.5000
```

Results
The space-group type is R-3m. The calculation puts the calculated density at 8.048 Mg/m³. The uncorrected formation energy comes out at -17.3 kJ/mol of atoms.

---

# Ga2BiSe6

A relaxed Ga2BiSe6 crystal (GGA-PBE, Alexandria via LeMat-Bulk).

```
Ga2BiSe6
1.0
-0.3655 -3.4416 -6.3513
9.7071 -0.8777 -2.3898
2.7352 -9.3049 2.5779
Ga Se Bi
4 12 2
Direct
0.7536 0.3135 0.1881
0.2536 0.1881 0.3135
0.7464 0.8119 0.6865
0.2464 0.6865 0.8119
0.5159 0.2455 0.3892
0.6630 0.9949 0.8200
0.0159 0.3892 0.2455
0.6285 0.5383 0.0236
0.1630 0.8200 0.9949
0.3370 0.0051 0.1800
0.8370 0.1800 0.0051
0.1285 0.0236 0.5383
0.4841 0.7545 0.6108
0.9841 0.6108 0.7545
0.8715 0.9764 0.4617
0.3715 0.4617 0.9764
0.2500 0.0846 0.9154
0.7500 0.9154 0.0846
```

Results
The space-group type is C2/c. The calculation puts the calculated density at 4.039 Mg/m³. The uncorrected formation energy comes out at -28.5 kJ/mol of atoms.

---

# La2SmP3Pt12

A relaxed La2SmP3Pt12 crystal (GGA-PBE, Alexandria via LeMat-Bulk).

```
La2SmP3Pt12
1.0
7.7956 -0.2823 -0.2002
3.6045 6.9181 -0.2002
3.6045 2.0981 6.5953
Pt La P Sm
12 2 3 1
Direct
0.6629 0.6629 0.1018
0.1424 0.1424 0.5934
0.6629 0.1018 0.6629
0.8576 0.4066 0.8576
0.3371 0.8982 0.3371
0.4066 0.8576 0.8576
0.1018 0.6629 0.6629
0.3371 0.3371 0.8982
0.5934 0.1424 0.1424
0.8982 0.3371 0.3371
0.1424 0.5934 0.1424
0.8576 0.8576 0.4066
0.3984 0.3984 0.3984
0.6016 0.6016 0.6016
0.0000 0.5000 0.0000
0.5000 0.0000 0.0000
0.0000 0.0000 0.5000
0.0000 0.0000 0.0000
```

Results
The space-group type is R-3m. The calculation puts the calculated density at 12.867 Mg/m³. For the formation energy, the calculation gives -48 kJ/mol of atoms.

---

# Tm6Si2HgSe3

A relaxed Tm6Si2HgSe3 crystal (GGA-PBE, Alexandria via LeMat-Bulk).

```
Tm6Si2HgSe3
1.0
4.0469 0.0000 0.0000
0.0000 8.3036 -0.0476
-2.0235 -2.7500 8.6318
Si Se Tm Hg
2 3 6 1
Direct
0.8384 0.6798 0.6768
0.1616 0.3202 0.3232
0.8327 0.1746 0.6654
0.1673 0.8254 0.3346
0.5000 0.5000 0.0000
0.0012 0.7386 0.0024
0.9988 0.2614 0.9976
0.6728 0.5659 0.3455
0.3272 0.4341 0.6545
0.3292 0.9112 0.6584
0.6708 0.0888 0.3416
0.5000 0.0000 0.0000
```

Results
The space-group type is C2/m. The calculation puts the calculated density at 8.644 Mg/m³. The uncorrected formation energy comes out at -113.1 kJ/mol of atoms.

---

# HoTiAlZn

A relaxed HoTiAlZn crystal (GGA-PBE, Alexandria via LeMat-Bulk).

```
HoTiAlZn
1.0
-2.7990 3.0283 -2.3894
-3.2097 -1.6658 -3.1045
-4.6501 0.2523 1.0138
Al Ho Ti Zn
1 1 1 1
Direct
0.5000 0.5000 0.5000
0.7500 0.7500 0.7500
0.2500 0.2500 0.2500
0.0000 0.0000 0.0000
```

Results
The space-group type is F-43m. The calculation puts the calculated density at 6.620 Mg/m³. For the formation energy, the calculation gives -21 kJ/mol of atoms.